First-principles (PBE with a Hubbard U) data for an optimized crystal structure of PuCd2FeO6, as listed in Alexandria via LeMat-Bulk.

Cell: 5.825 5.825 5.825 Å, 57.31 57.31 57.31°
Element x y z (fractional)
Pu1 0.000 0.000 0.000
Cd1 0.230 0.230 0.230
Cd2 0.770 0.770 0.770
Fe1 0.500 0.500 0.500
O1 0.152 0.361 0.752
O2 0.248 0.848 0.639
O3 0.361 0.752 0.152
O4 0.639 0.248 0.848
O5 0.752 0.152 0.361
O6 0.848 0.639 0.248

Fermi-level density of states in states/eV/f.u.: 9.99
Raw total energy in eV for the cell shown: -68.70